No. 1
Below is a relaxed structure of MgGeN2, with properties calculated at the PBEsol level.

DOS at the Fermi energy: 0.62 states/eV per atom
Space-group type: Fm-3m (225)
Crystal system: cubic
Raw formation energy: 0.687 eV/atom

a b c (Å): 3.8342 3.8342 3.8342
angles (deg): 60.00 60.00 60.00
Last column: nearest neighbours and their distance in Å.
Sites, in units of the cell vectors:
Mg  0.0000  0.0000  0.0000  8 N 2.35
N  0.2500  0.2500  0.2500  4 Ge 2.35, 4 Mg 2.35
N  0.7500  0.7500  0.7500  4 Ge 2.35, 4 Mg 2.35
Ge  0.5000  0.5000  0.5000  8 N 2.35

No. 2
Below is a relaxed structure of MgGeN2, with properties calculated at the PBEsol level.

DOS at the Fermi energy: 0.02 states/eV per atom
Space-group type: R-3m (166)
Crystal system: trigonal
Raw formation energy: 0.022 eV/atom

a b c (Å): 3.4021 3.4021 5.8269
angles (deg): 73.03 73.03 60.00
Last column: nearest neighbours and their distance in Å.
Sites, in units of the cell vectors:
Ge  0.0000  0.0000  0.0000  2 N 1.68
N  0.1024  0.1024  0.6929  1 Ge 1.68
N  0.8976  0.8976  0.3071  1 Ge 1.68
Mg  0.5000  0.5000  0.5000  6 N 2.23

No. 3
Below is a relaxed structure of MgGeN3, with properties calculated at the PBEsol level.

DOS at the Fermi energy: 0.39 states/eV per atom
Space-group type: Pm-3m (221)
Crystal system: cubic
Raw formation energy: 1.686 eV/atom

a b c (Å): 4.0103 4.0103 4.0103
angles (deg): 90.00 90.00 90.00
Last column: nearest neighbours and their distance in Å.
Sites, in units of the cell vectors:
Mg  0.0000  0.0000  0.0000  6 N 2.01
N  0.0000  0.0000  0.5000  2 Mg 2.01
N  0.0000  0.5000  0.0000  2 Mg 2.01
N  0.5000  0.0000  0.0000  2 Mg 2.01
Ge  0.5000  0.5000  0.5000  12 N 2.84

No. 4
Below is a relaxed structure of MgGeNO2, with properties calculated at the PBEsol level.

DOS at the Fermi energy: 0.48 states/eV per atom
Space-group type: P4/mmm (123)
Crystal system: tetragonal
Raw formation energy: 0.080 eV/atom

a b c (Å): 3.8489 3.8489 4.0681
angles (deg): 90.00 90.00 90.00
Last column: nearest neighbours and their distance in Å.
Sites, in units of the cell vectors:
Mg  0.0000  0.0000  0.0000  4 O 1.92, 2 N 2.03
N  0.0000  0.0000  0.5000  2 Mg 2.03
Ge  0.5000  0.5000  0.5000  4 N 2.72, 8 O 2.80
O  0.5000  0.0000  0.0000  2 Mg 1.92
O  0.0000  0.5000  0.0000  2 Mg 1.92

No. 5
Below is a relaxed structure of MgGePt2N, with properties calculated at the PBEsol level.

DOS at the Fermi energy: 0.48 states/eV per atom
Space-group type: P4/mmm (123)
Crystal system: tetragonal
Raw formation energy: 1.098 eV/atom

a b c (Å): 3.6954 4.7261 4.7261
angles (deg): 90.00 90.00 90.00
Last column: nearest neighbours and their distance in Å.
Sites, in units of the cell vectors:
Mg  0.0000  0.0000  0.0000  2 N 1.85
Ge  0.5000  0.5000  0.5000  8 Pt 3.00, 4 N 3.34
Pt  0.0000  0.0000  0.5000  2 Mg 2.36
Pt  0.0000  0.5000  0.0000  2 Mg 2.36
N  0.5000  0.0000  0.0000  2 Mg 1.85

No. 6
Below is a relaxed structure of MgGeSe2N, with properties calculated at the PBEsol level.

DOS at the Fermi energy: 0.56 states/eV per atom
Space-group type: P4/mmm (123)
Crystal system: tetragonal
Raw formation energy: 0.216 eV/atom

a b c (Å): 3.5117 5.1755 5.1755
angles (deg): 90.00 90.00 90.00
Last column: nearest neighbours and their distance in Å.
Sites, in units of the cell vectors:
Se  0.0000  0.0000  0.5000  2 Ge 2.59
Se  0.0000  0.5000  0.0000  2 Ge 2.59
N  0.5000  0.0000  0.0000  2 Ge 1.76
Mg  0.5000  0.5000  0.5000  8 Se 3.13
Ge  0.0000  0.0000  0.0000  2 N 1.76

No. 7
Below is a relaxed structure of MgGeTeN2, with properties calculated at the PBEsol level.

DOS at the Fermi energy: 0.51 states/eV per atom
Space-group type: P4/mmm (123)
Crystal system: tetragonal
Raw formation energy: 1.255 eV/atom

a b c (Å): 4.1377 4.1377 5.7080
angles (deg): 90.00 90.00 90.00
Last column: nearest neighbours and their distance in Å.
Sites, in units of the cell vectors:
Te  0.0000  0.0000  0.5000  2 Mg 2.85, 4 Ge 2.93
Ge  0.5000  0.5000  0.5000  4 Te 2.93
Mg  0.0000  0.0000  0.0000  4 N 2.07
N  0.5000  0.0000  0.0000  2 Mg 2.07
N  0.0000  0.5000  0.0000  2 Mg 2.07

No. 8
Below is a relaxed structure of Na2MgGeO4, with properties calculated at the PBEsol level.

DOS at the Fermi energy: 0.00 states/eV per atom
Space-group type: Pc (7)
Crystal system: monoclinic
Raw formation energy: -2.035 eV/atom

a b c (Å): 5.3546 5.6513 7.1299
angles (deg): 90.00 90.10 90.00
Last column: nearest neighbours and their distance in Å.
Sites, in units of the cell vectors:
O  0.5952  0.2931  0.2186  1 Ge 1.77, 1 Mg 1.95
O  0.0657  0.2046  0.3963  1 Ge 1.76, 1 Mg 1.96
O  0.0070  0.1514  0.9894  1 Ge 1.77, 1 Mg 1.97
O  0.0952  0.7069  0.7186  1 Ge 1.77, 1 Mg 1.95
O  0.5033  0.3823  0.6632  1 Ge 1.77, 1 Mg 1.96
O  0.5657  0.7954  0.8963  1 Ge 1.76, 1 Mg 1.96
O  0.5070  0.8486  0.4894  1 Ge 1.77, 1 Mg 1.97
O  0.0033  0.6177  0.1632  1 Ge 1.77, 1 Mg 1.96
Mg  0.4264  0.1843  0.4441  4 O 1.95-1.97
Mg  0.9264  0.8157  0.9441  4 O 1.95-1.97
Ge  0.4222  0.6842  0.6915  4 O 1.76-1.77
Ge  0.9222  0.3158  0.1915  4 O 1.76-1.77
Na  0.9384  0.3279  0.6939  4 O 2.31-2.36
Na  0.4384  0.6721  0.1939  4 O 2.31-2.36
Na  0.9362  0.8202  0.4383  4 O 2.26-2.33
Na  0.4362  0.1798  0.9383  4 O 2.26-2.33

No. 9
Below is a relaxed structure of NaMgGe2S, with properties calculated at the PBEsol level.

DOS at the Fermi energy: 0.45 states/eV per atom
Space-group type: P4/mmm (123)
Crystal system: tetragonal
Raw formation energy: 0.999 eV/atom

a b c (Å): 4.9505 4.9505 5.0977
angles (deg): 90.00 90.00 90.00
Last column: nearest neighbours and their distance in Å.
Sites, in units of the cell vectors:
Ge  0.0000  0.5000  0.0000  2 Na 2.48
Ge  0.5000  0.0000  0.0000  2 Na 2.48
S  0.5000  0.5000  0.5000  4 Mg 3.50, 8 Ge 3.55
Na  0.0000  0.0000  0.0000  4 Ge 2.48, 2 Mg 2.55
Mg  0.0000  0.0000  0.5000  2 Na 2.55

No. 10
Below is a relaxed structure of Nd4Mg7Ge6, with properties calculated at the PBEsol level.

DOS at the Fermi energy: 0.40 states/eV per atom
Space-group type: C2/m (12)
ΔE_f: -9.936 eV/f.u.
Crystal system: monoclinic

a b c (Å): 4.3880 8.5331 10.8353
angles (deg): 78.81 78.32 75.10
Last column: nearest neighbours and their distance in Å.
Sites, in units of the cell vectors:
Nd  0.3713  0.4190  0.8384  6 Ge 3.05-3.34
Nd  0.6287  0.5810  0.1616  6 Ge 3.05-3.34
Nd  0.7330  0.1474  0.3866  5 Ge 3.08-3.16, 7 Mg 3.30-3.44
Nd  0.2670  0.8526  0.6134  5 Ge 3.08-3.16, 7 Mg 3.30-3.44
Mg  0.9368  0.7297  0.3968  4 Ge 2.72-2.79, 3 Mg 3.00-3.02
Mg  0.0632  0.2703  0.6032  4 Ge 2.72-2.79, 3 Mg 3.00-3.02
Mg  0.3102  0.2266  0.1531  4 Ge 2.60-2.90
Mg  0.9598  0.9414  0.1389  4 Ge 2.67-2.87, 1 Mg 2.96
Mg  0.6898  0.7734  0.8469  4 Ge 2.60-2.90
Mg  0.0402  0.0586  0.8611  4 Ge 2.67-2.87, 1 Mg 2.96
Mg  0.5000  0.5000  0.5000  4 Ge 2.88, 4 Mg 3.00
Ge  0.3896  0.9086  0.3122  5 Mg 2.72-2.90
Ge  0.8795  0.5883  0.6527  5 Mg 2.74-2.88
Ge  0.1205  0.4117  0.3473  5 Mg 2.74-2.88
Ge  0.1505  0.7213  0.9777  4 Mg 2.60-2.87
Ge  0.6104  0.0914  0.6878  5 Mg 2.72-2.90
Ge  0.8495  0.2787  0.0223  4 Mg 2.60-2.87

No. 11
Below is a relaxed structure of Mg14Ge5O24, with properties calculated at the PBEsol level.

DOS at the Fermi energy: 0.00 states/eV per atom
Space-group type: Pbam (55)
Crystal system: orthorhombic
Raw formation energy: -2.447 eV/atom

a b c (Å): 5.9562 10.2463 14.5565
angles (deg): 90.00 90.00 90.00
Last column: nearest neighbours and their distance in Å.
Sites, in units of the cell vectors:
Ge  0.0000  0.5014  0.1255  4 O 1.79
Ge  0.5000  0.3260  0.1862  4 O 1.73-1.78
Ge  0.5000  0.8260  0.3138  4 O 1.73-1.78
Ge  0.0000  0.0000  0.0000  6 O 1.91-1.93
Ge  0.5000  0.6740  0.8138  4 O 1.73-1.78
Ge  0.0000  0.0014  0.3745  4 O 1.79
Ge  0.0000  0.5000  0.5000  6 O 1.91-1.93
Ge  0.5000  0.1740  0.6862  4 O 1.73-1.78
Ge  0.0000  0.4986  0.8745  4 O 1.79
Ge  0.0000  0.9986  0.6255  4 O 1.79
O  0.7756  0.9219  0.9240  1 Ge 1.91, 3 Mg 2.12-2.14
O  0.7515  0.9187  0.5856  1 Ge 1.79
O  0.2718  0.7517  0.2563  1 Ge 1.77
O  0.7756  0.4219  0.5760  1 Ge 1.91, 3 Mg 2.12-2.14
O  0.0000  0.3483  0.4214  1 Ge 1.93, 4 Mg 2.07-2.10
O  0.2485  0.0813  0.4144  1 Ge 1.79
O  0.5000  0.8316  0.0859  6 Mg 2.12-2.28
O  0.7282  0.2483  0.7437  1 Ge 1.77
O  0.0000  0.4962  0.7518  1 Ge 1.79
O  0.5000  0.4791  0.2440  1 Ge 1.78
O  0.2244  0.9219  0.9240  1 Ge 1.91, 3 Mg 2.12-2.14
O  0.2244  0.4219  0.5760  1 Ge 1.91, 3 Mg 2.12-2.14
O  0.5000  0.9791  0.2560  1 Ge 1.78
O  0.7515  0.4187  0.9144  1 Ge 1.79
O  0.0000  0.5038  0.2482  1 Ge 1.79
O  0.7282  0.7517  0.2563  1 Ge 1.77
O  0.5000  0.1704  0.5674  1 Ge 1.73
O  0.7756  0.5781  0.4240  1 Ge 1.91, 3 Mg 2.12-2.14
O  0.2718  0.2517  0.2437  1 Ge 1.77
O  0.0000  0.8483  0.0786  1 Ge 1.93, 4 Mg 2.07-2.10
O  0.0000  0.6517  0.5786  1 Ge 1.93, 4 Mg 2.07-2.10
O  0.2718  0.2483  0.7437  1 Ge 1.77
O  0.7282  0.2517  0.2437  1 Ge 1.77
O  0.0000  0.9962  0.7482  1 Ge 1.79
O  0.7282  0.7483  0.7563  1 Ge 1.77
O  0.2718  0.7483  0.7563  1 Ge 1.77
O  0.7756  0.0781  0.0760  1 Ge 1.91, 3 Mg 2.12-2.14
O  0.5000  0.5209  0.7560  1 Ge 1.78
O  0.2485  0.5813  0.0856  1 Ge 1.79
O  0.5000  0.6704  0.9326  1 Ge 1.73
O  0.0000  0.8369  0.4161  1 Ge 1.79
O  0.5000  0.6684  0.5859  6 Mg 2.12-2.28
O  0.5000  0.0209  0.7440  1 Ge 1.78
O  0.5000  0.1684  0.9141  6 Mg 2.12-2.28
O  0.0000  0.3369  0.0839  1 Ge 1.79
O  0.7515  0.5813  0.0856  1 Ge 1.79
O  0.0000  0.1517  0.9214  1 Ge 1.93, 4 Mg 2.07-2.10
O  0.0000  0.0038  0.2518  1 Ge 1.79
O  0.2485  0.4187  0.9144  1 Ge 1.79
O  0.0000  0.6631  0.9161  1 Ge 1.79
O  0.5000  0.3316  0.4141  6 Mg 2.12-2.28
O  0.2244  0.0781  0.0760  1 Ge 1.91, 3 Mg 2.12-2.14
O  0.5000  0.3296  0.0674  1 Ge 1.73
O  0.2485  0.9187  0.5856  1 Ge 1.79
O  0.0000  0.1631  0.5839  1 Ge 1.79
O  0.5000  0.8296  0.4326  1 Ge 1.73
O  0.2244  0.5781  0.4240  1 Ge 1.91, 3 Mg 2.12-2.14
O  0.7515  0.0813  0.4144  1 Ge 1.79
Mg  0.2418  0.2515  0.9957  6 O 2.02-2.13
Mg  0.2460  0.4195  0.3314  6 O 2.07-2.15
Mg  0.0000  0.8212  0.8239  6 O 2.04-2.23
Mg  0.2418  0.7515  0.5043  6 O 2.02-2.13
Mg  0.7582  0.7515  0.5043  6 O 2.02-2.13
Mg  0.7582  0.7485  0.0043  6 O 2.02-2.13
Mg  0.0000  0.3212  0.6761  6 O 2.04-2.23
Mg  0.7582  0.2515  0.9957  6 O 2.02-2.13
Mg  0.7540  0.5805  0.6686  6 O 2.07-2.15
Mg  0.5000  0.5000  0.5000  6 O 2.13-2.14
Mg  0.5000  0.8523  0.6737  5 O 2.01-2.10
Mg  0.7582  0.2485  0.4957  6 O 2.02-2.13
Mg  0.0000  0.1788  0.1761  6 O 2.04-2.23
Mg  0.0000  0.6788  0.3239  6 O 2.04-2.23
Mg  0.7540  0.9195  0.1686  6 O 2.07-2.15
Mg  0.7540  0.4195  0.3314  6 O 2.07-2.15
Mg  0.2418  0.2485  0.4957  6 O 2.02-2.13
Mg  0.5000  0.5000  0.0000  6 O 2.00-2.12
Mg  0.2460  0.9195  0.1686  6 O 2.07-2.15
Mg  0.2418  0.7485  0.0043  6 O 2.02-2.13
Mg  0.2460  0.5805  0.6686  6 O 2.07-2.15
Mg  0.5000  0.3523  0.8263  5 O 2.01-2.10
Mg  0.7540  0.0805  0.8314  6 O 2.07-2.15
Mg  0.2460  0.0805  0.8314  6 O 2.07-2.15
Mg  0.5000  0.0000  0.5000  6 O 2.00-2.12
Mg  0.5000  0.0000  0.0000  6 O 2.13-2.14
Mg  0.5000  0.6477  0.1737  5 O 2.01-2.10
Mg  0.5000  0.1477  0.3263  5 O 2.01-2.10

No. 12
Below is a relaxed structure of Mg2GeO4, with properties calculated at the PBEsol level.

DOS at the Fermi energy: 0.00 states/eV per atom
Space-group type: Fd-3m (227)
Crystal system: cubic
Raw formation energy: -2.373 eV/atom

a b c (Å): 5.8465 5.8465 5.8465
angles (deg): 60.00 60.00 60.00
Last column: nearest neighbours and their distance in Å.
Sites, in units of the cell vectors:
Mg  0.1250  0.6250  0.1250  6 O 2.07
Mg  0.1250  0.1250  0.6250  6 O 2.07
Mg  0.1250  0.1250  0.1250  6 O 2.07
Mg  0.6250  0.1250  0.1250  6 O 2.07
O  0.8749  0.8749  0.3753  1 Ge 1.79
O  0.3753  0.8749  0.8749  1 Ge 1.79
O  0.8749  0.3753  0.8749  1 Ge 1.79
O  0.3751  0.3751  0.8747  1 Ge 1.79
O  0.8749  0.8749  0.8749  1 Ge 1.79
O  0.3751  0.3751  0.3751  1 Ge 1.79
O  0.3751  0.8747  0.3751  1 Ge 1.79
O  0.8747  0.3751  0.3751  1 Ge 1.79
Ge  0.5000  0.5000  0.5000  4 O 1.79
Ge  0.7500  0.7500  0.7500  4 O 1.79